No. 1
PBE HfGaN2, relaxed; density = 10.43 g/cm3; crystal system = cubic; polymorph energy (0 for the lowest one) = 3.59 eV per formula unit; formation energy without anion corrections = 0.11 eV/atom; total magnetic moment = 0.0 μB per cell
1.0
0.000 2.802 2.802
2.802 0.000 2.802
2.802 2.802 0.000
Hf Ga N
1 1 2
Cartesian
0.000 0.000 0.000
2.802 2.802 2.802
1.401 1.401 1.401
4.203 4.203 4.203



No. 2
PBE AsPt2Pb, relaxed; density = 14.51 g/cm3; E = -20.64 eV for the cell shown; crystal system = tetragonal; total magnetic moment = 0.0 μB per cell
1.0
3.291 0.000 0.000
0.000 3.291 0.000
0.000 0.000 7.107
As Pt Pb
1 2 1
Cartesian
0.000 0.000 0.000
1.645 1.645 1.443
1.645 1.645 5.663
0.000 0.000 3.553



No. 3
PBE PuMgTlAg, relaxed; density = 10.42 g/cm3; crystal system = tetragonal; polymorph energy (0 for the lowest one) = 0.00 eV per formula unit; total magnetic moment = 5.9 μB per cell
1.0
3.304 0.000 0.000
0.000 3.304 0.000
0.000 0.000 8.479
Pu Mg Tl Ag
1 1 1 1
Cartesian
0.000 0.000 0.000
0.000 0.000 3.856
1.652 1.652 6.003
1.652 1.652 2.234



No. 4
PBE InPt2Rh, relaxed; density = 15.43 g/cm3; E = -22.99 eV for the cell shown; crystal system = orthorhombic; total magnetic moment = 0.2 μB per cell
1.0
2.883 0.000 0.000
0.000 3.979 0.000
0.000 0.000 5.701
In Pt Rh
1 2 1
Cartesian
0.000 0.000 0.000
1.442 1.990 1.487
1.442 1.990 4.213
0.000 0.000 2.850



No. 5
PBE RbZn2BiMo, relaxed; density = 3.74 g/cm3; E = -9.38 eV for the cell shown; crystal system = tetragonal; total magnetic moment = 3.9 μB per cell
1.0
5.832 0.000 0.000
0.000 5.832 0.000
0.000 0.000 6.800
Rb Zn Bi Mo
1 2 1 1
Cartesian
0.000 0.000 0.000
0.000 2.916 0.000
2.916 0.000 0.000
0.000 0.000 3.400
2.916 2.916 3.400



No. 6
PBE TlPPd2, relaxed; density = 10.26 g/cm3; crystal system = monoclinic; polymorph energy (0 for the lowest one) = 0.00 eV per formula unit; total magnetic moment = 0.0 μB per cell
1.0
7.712 0.000 0.000
0.000 6.423 0.000
-0.099 0.000 5.856
Tl P Pd
4 4 8
Cartesian
0.802 0.732 1.671
0.752 2.480 4.599
6.860 3.944 1.257
6.810 5.691 4.185
2.947 3.588 1.169
2.898 6.047 4.097
4.715 0.376 1.759
4.665 2.836 4.687
1.500 4.541 2.847
1.451 5.094 5.775
3.201 1.310 0.022
3.151 1.902 2.950
4.461 4.521 2.907
4.411 5.114 5.835
6.162 1.329 0.081
6.112 1.883 3.010



No. 7
PBE Nd3SmDy6Er2, relaxed; density = 8.10 g/cm3; E = -55.55 eV for the cell shown; crystal system = monoclinic; total magnetic moment = 0.0 μB per cell
1.0
3.101 -5.368 0.000
3.101 5.368 0.000
-2.060 0.000 11.655
Nd Sm Dy Er
3 1 6 2
Cartesian
0.000 0.000 0.000
3.101 1.792 0.000
3.101 -1.792 0.000
2.071 0.000 5.827
1.031 1.792 2.953
0.004 0.000 8.701
1.031 -1.792 2.953
3.110 1.792 8.701
4.137 0.000 2.953
3.110 -1.792 8.701
2.071 3.578 5.827
2.071 -3.578 5.827



No. 8
PBE ScHgCl, relaxed; density = 6.72 g/cm3; crystal system = hexagonal; polymorph energy (0 for the lowest one) = 0.77 eV per formula unit; formation energy without anion corrections = -0.66 eV/atom; total magnetic moment = 0.0 μB per cell
1.0
4.493 0.000 0.000
-2.246 3.891 0.000
0.000 0.000 3.973
Sc Hg Cl
1 1 1
Cartesian
0.000 0.000 0.000
2.246 1.297 1.986
0.000 2.594 0.000



No. 9
PBE KMn2I6, relaxed; density = 3.58 g/cm3; crystal system = monoclinic; polymorph energy (0 for the lowest one) = 0.40 eV per formula unit; formation energy without anion corrections = -0.56 eV/atom; total magnetic moment = 9.0 μB per cell
1.0
7.755 -2.733 0.000
7.755 2.733 0.000
-2.149 0.000 9.958
K Mn I
1 2 6
Cartesian
0.000 0.000 0.000
2.304 0.000 6.615
11.057 0.000 3.343
-0.270 0.000 6.969
2.426 0.000 3.821
3.391 0.000 9.007
9.970 0.000 0.951
10.934 0.000 6.137
13.630 0.000 2.989



No. 10
PBE Rb2ZnInH, relaxed; density = 2.36 g/cm3; E = -7.29 eV for the cell shown; crystal system = tetragonal; total magnetic moment = 0.0 μB per cell
1.0
7.060 0.000 0.000
0.000 7.060 0.000
0.000 0.000 4.970
Rb Zn In H
2 1 1 1
Cartesian
0.000 3.530 0.000
3.530 0.000 0.000
0.000 0.000 2.485
0.000 0.000 0.000
3.530 3.530 2.485



No. 11
PBE Tb3Al2SiPt9, relaxed; density = 12.37 g/cm3; crystal system = trigonal; formation energy without anion corrections = -0.72 eV/atom; total magnetic moment = 0.0 μB per cell
1.0
6.588 0.000 0.000
-3.294 5.705 0.000
0.000 0.000 8.266
Tb Al Si Pt
3 2 1 9
Cartesian
0.000 0.000 0.000
0.000 3.803 5.938
3.294 1.902 2.328
0.000 3.803 1.625
3.294 1.902 6.641
0.000 0.000 4.133
-1.647 2.853 0.000
0.000 1.588 2.357
-1.919 4.911 2.357
1.375 0.794 5.909
3.294 0.000 0.000
1.647 2.853 0.000
1.919 4.911 2.357
5.212 0.794 5.909
3.294 4.117 5.909



No. 12
PBE TeMoAsN2, relaxed; density = 5.30 g/cm3; crystal system = tetragonal; polymorph energy (0 for the lowest one) = 4.91 eV per formula unit; formation energy without anion corrections = 1.66 eV/atom; total magnetic moment = 4.1 μB per cell
1.0
3.812 0.000 0.000
0.000 3.812 0.000
0.000 0.000 7.035
Te Mo As N
1 1 1 2
Cartesian
0.000 0.000 0.000
1.906 1.906 0.000
0.000 0.000 3.517
0.000 1.906 3.517
1.906 0.000 3.517



No. 13
PBE NaBrCl3, relaxed; density = 2.34 g/cm3; crystal system = cubic; polymorph energy (0 for the lowest one) = 1.60 eV per formula unit; formation energy without anion corrections = -0.11 eV/atom; total magnetic moment = 3.0 μB per cell
1.0
5.297 0.000 0.000
0.000 5.297 0.000
0.000 0.000 5.297
Na Br Cl
1 1 3
Cartesian
0.000 0.000 0.000
2.648 2.648 2.648
0.000 0.000 2.648
0.000 2.648 0.000
2.648 0.000 0.000



No. 14
PBE RbN2OF, relaxed; density = 1.17 g/cm3; crystal system = tetragonal; formation energy without anion corrections = 1.80 eV/atom; total magnetic moment = 7.8 μB per cell
1.0
6.518 0.000 0.000
0.000 6.518 0.000
0.000 0.000 4.963
Rb N O F
1 2 1 1
Cartesian
0.000 0.000 0.000
0.000 3.259 0.000
3.259 0.000 0.000
3.259 3.259 2.482
0.000 0.000 2.482



No. 15
PBE CsRbHgSb, relaxed; density = 4.71 g/cm3; crystal system = orthorhombic; formation energy without anion corrections = -0.32 eV/atom; total magnetic moment = 0.0 μB per cell
1.0
4.982 0.000 0.000
0.000 2.869 6.671
0.000 -2.869 6.671
Cs Rb Hg Sb
1 1 1 1
Cartesian
0.000 0.000 0.000
2.491 0.000 3.856
2.491 0.000 7.918
0.000 0.000 9.432



No. 16
PBE LiMnFe2, relaxed; density = 5.53 g/cm3; crystal system = tetragonal; polymorph energy (0 for the lowest one) = 0.44 eV per formula unit; total magnetic moment = 7.5 μB per cell
1.0
2.825 0.000 0.000
0.000 2.825 0.000
0.000 0.000 6.532
Li Mn Fe
1 1 2
Cartesian
0.000 0.000 0.000
1.413 1.413 1.937
0.000 0.000 3.433
1.413 1.413 4.735



No. 17
PBE BeAs2PbW, relaxed; density = 7.14 g/cm3; E = -19.95 eV for the cell shown; crystal system = tetragonal; total magnetic moment = 3.0 μB per cell
1.0
5.438 0.000 0.000
0.000 5.438 0.000
0.000 0.000 4.323
Be As Pb W
1 2 1 1
Cartesian
0.000 0.000 0.000
0.000 2.719 2.161
2.719 0.000 2.161
0.000 0.000 2.161
2.719 2.719 0.000



No. 18
PBE SmBePt6, relaxed; density = 15.79 g/cm3; E = -48.94 eV for the cell shown; crystal system = tetragonal; total magnetic moment = 0.0 μB per cell
1.0
3.930 0.000 0.000
0.000 3.930 0.000
0.000 0.000 9.052
Sm Be Pt
1 1 6
Cartesian
0.000 0.000 0.000
0.000 0.000 4.526
0.000 1.965 3.164
0.000 1.965 5.888
1.965 0.000 3.164
1.965 0.000 5.888
1.965 1.965 1.280
1.965 1.965 7.772



No. 19
PBE CrIn3Br6, relaxed; density = 4.41 g/cm3; crystal system = monoclinic; formation energy without anion corrections = -0.69 eV/atom; total magnetic moment = 6.0 μB per cell
1.0
7.252 0.000 0.000
0.000 8.378 0.000
-6.523 0.000 10.856
Cr In Br
2 6 12
Cartesian
0.000 0.000 0.000
-3.261 4.189 5.428
-2.792 0.650 8.288
0.469 3.539 2.860
0.365 0.000 5.428
3.626 4.189 0.000
0.260 4.839 7.996
3.521 7.729 2.568
-0.665 0.459 2.404
-3.926 3.730 7.832
1.175 6.231 0.725
-2.087 6.337 6.153
2.146 1.320 0.330
-1.115 2.869 5.758
1.844 5.509 5.098
-1.417 7.058 10.526
2.816 2.042 4.703
-0.445 2.148 10.131
4.655 4.648 3.024
1.394 7.919 8.452



No. 20
PBE AcCu4Sn4, relaxed; density = 8.09 g/cm3; crystal system = tetragonal; polymorph energy (0 for the lowest one) = 0.00 eV per formula unit; total magnetic moment = 0.0 μB per cell
1.0
6.696 0.000 0.000
0.000 6.696 0.000
0.000 0.000 8.752
Ac Cu Sn
2 8 8
Cartesian
1.674 5.022 2.188
5.022 1.674 6.564
0.437 1.674 0.882
1.674 0.437 5.258
1.674 2.911 5.258
2.911 1.674 0.882
3.785 5.022 7.871
5.022 3.785 3.495
5.022 6.259 3.495
6.259 5.022 7.871
0.024 1.674 3.466
1.674 0.024 7.843
1.674 3.325 7.843
3.325 1.674 3.466
3.372 5.022 5.286
5.022 3.372 0.910
5.022 6.673 0.910
6.673 5.022 5.286